A plane-wave DFT calculation with PBE was carried out for an optimized crystal structure of MgV2In.

Geometry as POSCAR:
```
MgV2In
1.0
-1.6410 7.1486 -0.8881
-5.0227 -0.4825 5.3967
-1.4458 3.9914 4.0685
Mg In V
2 2 4
Cartesian
-3.3318 3.3330 2.2543
-4.9001 3.4209 5.8597
0.0000 0.0000 0.0000
-3.2093 7.2365 2.7173
-2.0172 5.4156 1.1354
-3.7034 1.5797 4.2803
-3.5761 5.4940 4.7344
-6.9222 8.8257 7.0040
```

Computed properties:
symmetry	I-42d
ΔE_f	0.7753	eV/atom
E	-38.9	eV per cell

A plane-wave DFT calculation with PBE was carried out for an optimized crystal structure of BaY2Co2.

Geometry as POSCAR:
```
BaY2Co2
1.0
4.9222 0.0000 0.0000
0.0000 4.9222 0.0000
2.4611 2.4611 5.7436
Y Co Ba
2 2 1
Cartesian
2.4611 2.4611 1.9458
4.9222 4.9222 3.7977
4.9222 2.4611 2.8718
2.4611 4.9222 2.8718
0.0000 0.0000 0.0000
```

Computed properties:
symmetry	I4/mmm
ΔE_f	0.2909	eV/atom
E	-27.6	eV per cell

A plane-wave DFT calculation with PBE was carried out for an optimized crystal structure of IrOsCl2.

Geometry as POSCAR:
```
IrOsCl2
1.0
-5.0075 -3.2834 -4.2829
-2.3962 -6.8723 -1.1087
1.4248 6.2183 3.6744
Ir Os Cl
1 1 2
Cartesian
-3.6423 -1.0715 -1.6522
-2.3367 -2.8659 -0.0651
-0.7924 -1.0869 -0.5770
-2.9095 -3.9909 -2.1188
```

Computed properties:
symmetry	Immm
E_form (uncorrected)	2.8	eV/f.u.
E	-21.0	eV per cell